Entry 1:
VAs3P | Alexandria via LeMat-Bulk | PBE-GGA | relaxed; symmetry = Pm-3m, No. 221; E_form = 0.835 eV per atom
1.0
-3.045 1.883 3.037
0.305 -3.839 2.686
3.560 1.939 2.367
P As V
1 3 1
Direct
0.000 0.000 0.000
0.000 0.500 0.000
0.000 0.000 0.500
0.500 0.000 0.000
0.500 0.500 0.500


Entry 2:
VAs3P | Alexandria via LeMat-Bulk | PBE-GGA | relaxed; symmetry = Pm-3m, No. 221; E_form = 0.579 eV per atom
1.0
-1.427 1.422 4.270
2.114 -3.743 1.953
3.974 2.502 0.495
P As V
1 3 1
Direct
0.500 0.500 0.500
0.000 0.500 0.000
0.000 0.000 0.500
0.500 0.000 0.000
0.000 0.000 0.000


Entry 3:
V4AsP | Alexandria via LeMat-Bulk | PBE-GGA | relaxed; symmetry = C2/c, No. 15; E_form = -0.243 eV per atom
1.0
4.509 0.000 0.000
0.000 6.118 0.401
-2.254 -1.993 6.105
V As P
8 2 2
Direct
0.354 0.111 0.347
0.993 0.611 0.347
0.693 0.930 0.138
0.445 0.430 0.138
0.307 0.070 0.862
0.555 0.570 0.862
0.646 0.889 0.653
0.007 0.389 0.653
0.127 0.750 0.000
0.873 0.250 0.000
0.500 0.500 0.500
0.000 0.000 0.500


Entry 4:
V8AsP2 | Alexandria via LeMat-Bulk | PBE-GGA | relaxed; symmetry = C2/m, No. 12; E_form = -0.404 eV per atom
1.0
4.570 -0.156 -0.234
-0.962 6.074 -0.128
-0.962 -2.458 5.556
V As P
8 1 2
Direct
0.899 0.910 0.682
0.899 0.682 0.910
0.333 0.614 0.614
0.500 0.758 0.242
0.500 0.242 0.758
0.667 0.386 0.386
0.101 0.318 0.090
0.101 0.090 0.318
0.500 0.000 0.000
0.000 0.312 0.688
0.000 0.688 0.312


Entry 5:
V4AsP2 | Alexandria via LeMat-Bulk | PBE-GGA | relaxed; symmetry = I4/mmm, No. 139; E_form = 0.343 eV per atom
1.0
4.438 0.000 0.000
0.000 4.438 0.000
2.219 2.219 6.222
P As V
2 1 4
Direct
0.616 0.616 0.767
0.384 0.384 0.233
0.000 0.000 0.000
0.805 0.805 0.390
0.195 0.195 0.610
0.000 0.500 0.000
0.500 0.000 0.000


Entry 6:
V6AsP | Alexandria via LeMat-Bulk | PBE-GGA | relaxed; symmetry = R-3, No. 148; E_form = 0.072 eV per atom
1.0
5.454 0.007 0.008
2.721 4.727 0.011
2.718 1.572 4.709
V As P
6 1 1
Direct
0.006 0.480 0.754
0.760 0.006 0.754
0.520 0.240 0.246
0.240 0.994 0.246
0.994 0.520 0.246
0.480 0.760 0.754
0.500 0.500 0.500
0.000 0.000 0.000


Entry 7:
V3AsP | Alexandria via LeMat-Bulk | PBE-GGA | relaxed; symmetry = Pm-3m, No. 221; E_form = 0.269 eV per atom
1.0
-3.445 0.605 -2.560
-2.142 -3.095 2.150
-1.528 2.974 2.759
P As V
1 1 3
Direct
0.000 0.000 0.000
0.500 0.500 0.500
0.000 0.500 0.000
0.000 0.000 0.500
0.500 0.000 0.000


Entry 8:
VAsP3 | Alexandria via LeMat-Bulk | PBE-GGA | relaxed; symmetry = Pm-3m, No. 221; E_form = 0.532 eV per atom
1.0
-2.276 -3.694 1.323
3.517 -2.598 -1.204
1.739 0.422 4.168
P As V
3 1 1
Direct
0.000 0.500 0.000
0.000 0.000 0.500
0.500 0.000 0.000
0.500 0.500 0.500
0.000 0.000 0.000


Entry 9:
VAsP3 | Alexandria via LeMat-Bulk | PBE-GGA | relaxed; symmetry = Pm-3m, No. 221; E_form = 1.110 eV per atom
1.0
-2.371 3.987 -0.111
-3.624 -2.208 -1.876
-1.665 -0.871 4.242
P As V
3 1 1
Direct
0.000 0.500 0.000
0.000 0.000 0.500
0.500 0.000 0.000
0.000 0.000 0.000
0.500 0.500 0.500


Entry 10:
V7As2P2 | Alexandria via LeMat-Bulk | PBE-GGA | relaxed; symmetry = C2/m, No. 12; E_form = -0.290 eV per atom
1.0
-2.070 -3.530 -3.870
1.307 -3.527 3.718
-4.524 0.504 3.317
V As P
7 2 2
Direct
0.035 0.268 0.556
0.556 0.732 0.035
0.965 0.732 0.444
0.444 0.268 0.965
0.000 0.000 0.000
0.486 0.725 0.514
0.514 0.275 0.486
0.807 0.500 0.807
0.193 0.500 0.193
0.726 0.065 0.274
0.274 0.935 0.726


Entry 11:
VZn2AsP | Alexandria via LeMat-Bulk | PBE-GGA | relaxed; symmetry = P4/mmm, No. 123; E_form = 0.676 eV per atom
1.0
-2.715 -0.514 3.757
0.637 -4.771 -0.193
3.742 0.388 2.757
P As Zn V
1 1 2 1
Direct
0.500 0.500 0.500
0.000 0.000 0.000
0.000 0.000 0.500
0.500 0.000 0.000
0.000 0.500 0.000


Entry 12:
AsPW | Alexandria via LeMat-Bulk | PBE-GGA | relaxed; symmetry = F-43m, No. 216; E_form = 0.648 eV per atom
1.0
4.169 0.000 0.000
2.084 3.610 0.000
2.084 1.203 3.404
As P W
1 1 1
Direct
0.500 0.500 0.500
0.750 0.750 0.750
0.000 0.000 0.000


What did the eighth record say?
VAsP3 | Alexandria via LeMat-Bulk | PBE-GGA | relaxed; symmetry = Pm-3m, No. 221; E_form = 0.532 eV per atom
1.0
-2.276 -3.694 1.323
3.517 -2.598 -1.204
1.739 0.422 4.168
P As V
3 1 1
Direct
0.000 0.500 0.000
0.000 0.000 0.500
0.500 0.000 0.000
0.500 0.500 0.500
0.000 0.000 0.000


- The lowest E_form belongs to which entry?
  V8AsP2


- What is the formula in the seventh record?
  V3AsP